! K2Ce2AlS6, optimized geometry, DFT PBE-GGA; values from VASP
! energy relative to the elements, uncorrected	-1536	meV/atom
&SYSTEM
  ibrav = 0, nat = 11, ntyp = 4
/
ATOMIC_SPECIES
K 39.10 K.upf
Ce 140.12 Ce.upf
Al 26.98 Al.upf
S 32.06 S.upf
CELL_PARAMETERS angstrom
6.853 0.012 0.064
-3.377 5.963 0.064
-1.238 -2.128 7.455
ATOMIC_POSITIONS crystal
K 0.830 0.170 0.000
K 0.170 0.830 0.000
Ce 0.333 0.667 0.500
Ce 0.667 0.333 0.500
Al 0.000 0.000 0.500
S 0.771 0.771 0.684
S 0.064 0.372 0.691
S 0.229 0.229 0.316
S 0.372 0.064 0.691
S 0.936 0.628 0.309
S 0.628 0.936 0.309